Density functional theory data (PBE-GGA) for a geometry-optimized LaMnOs structure.

Cell: 6.9072 6.9072 6.9072 Å, 155.95 155.95 34.27°
Atoms (fractional coordinates):
La  0.0000  0.0000  0.0000
Mn  0.1866  0.1866  0.0000
Os  0.7929  0.7929  0.0000

Computed properties:
Theoretical density: 11.66 g/cm³
Polymorph energy (0 for the lowest one): 1.925 eV per formula unit
Electronic total energy: -23.19 eV for the cell shown
SG: No. 107
Magnetic moment: 0.00 μB per cell
DOS at the Fermi energy: 3.626 states/eV/cell


Density functional theory data (PBE-GGA) for a geometry-optimized LaMn2Os structure.

Cell: 9.7691 9.7691 9.7691 Å, 17.45 17.45 17.45°
Atoms (fractional coordinates):
La  0.0000  0.0000  0.0000
Mn  0.2356  0.2356  0.2356
Mn  0.7644  0.7644  0.7644
Os  0.5000  0.5000  0.5000

Computed properties:
Theoretical density: 9.96 g/cm³
Polymorph energy (0 for the lowest one): 2.108 eV per formula unit
Electronic total energy: -31.81 eV for the cell shown
SG: No. 166
Magnetic moment: 6.43 μB per cell
DOS at the Fermi energy: 5.844 states/eV/cell


Density functional theory data (PBE-GGA) for a geometry-optimized LaMn2Os structure.

Cell: 5.7936 5.7936 5.7936 Å, 42.70 42.70 42.70°
Atoms (fractional coordinates):
La  0.0000  0.0000  0.0000
Mn  0.1964  0.1964  0.1964
Mn  0.4926  0.4926  0.4926
Os  0.8017  0.8017  0.8017

Computed properties:
Theoretical density: 9.00 g/cm³
Polymorph energy (0 for the lowest one): 0.000 eV per formula unit
Electronic total energy: -33.92 eV for the cell shown
SG: No. 160
Magnetic moment: 1.33 μB per cell
DOS at the Fermi energy: 5.327 states/eV/cell


Density functional theory data (PBE-GGA) for a geometry-optimized La4MnOs structure.

Cell: 6.1741 6.1741 6.1741 Å, 60.00 60.00 60.00°
Atoms (fractional coordinates):
La  0.3763  0.3763  0.3763
La  0.3763  0.3763  0.8712
La  0.3763  0.8712  0.3763
La  0.8712  0.3763  0.3763
Mn  0.0000  0.0000  0.0000
Os  0.7500  0.7500  0.7500

Computed properties:
Theoretical density: 7.99 g/cm³
Electronic total energy: -33.97 eV for the cell shown
SG: No. 216
Magnetic moment: 3.27 μB per cell
DOS at the Fermi energy: 8.907 states/eV/cell


Density functional theory data (PBE-GGA) for a geometry-optimized LaMnOs structure.

Cell: 3.9669 3.9669 4.7202 Å, 90.00 90.00 120.00°
Atoms (fractional coordinates):
La  0.0000  0.0000  0.0000
Mn  0.6667  0.3333  0.4651
Os  0.3333  0.6667  0.5332

Computed properties:
Theoretical density: 9.91 g/cm³
Polymorph energy (0 for the lowest one): 0.000 eV per formula unit
Electronic total energy: -25.11 eV for the cell shown
SG: No. 156
Magnetic moment: 0.00 μB per cell
DOS at the Fermi energy: 2.048 states/eV/cell


Density functional theory data (PBE-GGA) for a geometry-optimized LaMn2Os structure.

Cell: 5.7703 5.7703 5.7703 Å, 42.08 42.08 42.08°
Atoms (fractional coordinates):
La  0.0000  0.0000  0.0000
Mn  0.1900  0.1900  0.1900
Mn  0.8100  0.8100  0.8100
Os  0.5000  0.5000  0.5000

Computed properties:
Theoretical density: 9.34 g/cm³
Polymorph energy (0 for the lowest one): 0.093 eV per formula unit
Electronic total energy: -33.83 eV for the cell shown
SG: No. 166
Magnetic moment: 0.00 μB per cell
DOS at the Fermi energy: 4.036 states/eV/cell


Density functional theory data (PBE-GGA) for a geometry-optimized LaMn2Os structure.

Cell: 5.8156 5.8156 5.8156 Å, 147.96 130.06 60.58°
Atoms (fractional coordinates):
La  0.0000  0.0000  0.0000
Mn  0.2891  0.7891  0.5000
Mn  0.7109  0.2109  0.5000
Os  0.5000  0.5000  0.0000

Computed properties:
Theoretical density: 9.21 g/cm³
Polymorph energy (0 for the lowest one): 1.171 eV per formula unit
Electronic total energy: -32.75 eV for the cell shown
SG: No. 71
Magnetic moment: 7.82 μB per cell
DOS at the Fermi energy: 3.763 states/eV/cell


Density functional theory data (PBE-GGA) for a geometry-optimized LaMnOs structure.

Cell: 4.5856 4.5856 4.5856 Å, 60.00 60.00 60.00°
Atoms (fractional coordinates):
La  0.0000  0.0000  0.0000
Mn  0.2500  0.2500  0.2500
Os  0.7500  0.7500  0.7500

Computed properties:
Theoretical density: 9.35 g/cm³
Polymorph energy (0 for the lowest one): 3.589 eV per formula unit
Electronic total energy: -21.52 eV for the cell shown
SG: No. 216
Magnetic moment: 4.04 μB per cell
DOS at the Fermi energy: 3.496 states/eV/cell


Density functional theory data (PBE-GGA) for a geometry-optimized LaMn2Os structure.

Cell: 5.7055 5.7055 5.7055 Å, 148.04 131.43 59.32°
Atoms (fractional coordinates):
La  0.0000  0.0000  0.0000
Mn  0.2813  0.7813  0.5000
Mn  0.5496  0.5496  0.0000
Os  0.7435  0.2435  0.5000

Computed properties:
Theoretical density: 9.97 g/cm³
Polymorph energy (0 for the lowest one): 1.331 eV per formula unit
Electronic total energy: -32.59 eV for the cell shown
SG: No. 44
Magnetic moment: 6.30 μB per cell
DOS at the Fermi energy: 3.794 states/eV/cell


Density functional theory data (PBE-GGA) for a geometry-optimized LaMn2Os structure.

Cell: 3.1133 3.1133 7.4700 Å, 90.00 90.00 90.00°
Atoms (fractional coordinates):
La  0.0000  0.0000  0.0000
Mn  0.5000  0.5000  0.3149
Mn  0.5000  0.5000  0.6851
Os  0.0000  0.0000  0.5000

Computed properties:
Theoretical density: 10.07 g/cm³
Polymorph energy (0 for the lowest one): 0.654 eV per formula unit
Electronic total energy: -33.27 eV for the cell shown
SG: No. 123
Magnetic moment: 6.03 μB per cell
DOS at the Fermi energy: 3.357 states/eV/cell


Density functional theory data (PBE-GGA) for a geometry-optimized LaMn2Os structure.

Cell: 3.3629 4.6521 4.7116 Å, 90.00 90.00 90.00°
Atoms (fractional coordinates):
La  0.0000  0.0000  0.0000
Mn  0.0000  0.5000  0.5000
Mn  0.5000  0.5000  0.0000
Os  0.5000  0.0000  0.5000

Computed properties:
Theoretical density: 9.89 g/cm³
Polymorph energy (0 for the lowest one): 1.452 eV per formula unit
Electronic total energy: -32.47 eV for the cell shown
SG: No. 47
Magnetic moment: 0.48 μB per cell
DOS at the Fermi energy: 3.493 states/eV/cell


Density functional theory data (PBE-GGA) for a geometry-optimized LaMnOs structure.

Cell: 5.8723 6.2484 7.5290 Å, 90.00 117.24 90.00°
Atoms (fractional coordinates):
La  0.2012  0.1276  0.3951
La  0.2012  0.3724  0.8951
La  0.7988  0.6276  0.1049
La  0.7988  0.8724  0.6049
Mn  0.2531  0.6035  0.5628
Mn  0.2531  0.8965  0.0628
Mn  0.7469  0.1035  0.9372
Mn  0.7469  0.3965  0.4372
Os  0.3714  0.6186  0.3028
Os  0.3714  0.8814  0.8028
Os  0.6286  0.1186  0.1972
Os  0.6286  0.3814  0.6972

Computed properties:
Theoretical density: 10.39 g/cm³
Polymorph energy (0 for the lowest one): 0.176 eV per formula unit
Electronic total energy: -99.74 eV for the cell shown
SG: No. 14
Magnetic moment: 0.00 μB per cell
DOS at the Fermi energy: 13.411 states/eV/cell


Density functional theory data (PBE-GGA) for a geometry-optimized LaMn2Os structure.

Cell: 4.6747 4.6747 4.6747 Å, 60.00 60.00 60.00°
Atoms (fractional coordinates):
La  0.0000  0.0000  0.0000
Mn  0.5000  0.5000  0.5000
Mn  0.7500  0.7500  0.7500
Os  0.2500  0.2500  0.2500

Computed properties:
Theoretical density: 10.09 g/cm³
Polymorph energy (0 for the lowest one): 1.538 eV per formula unit
Electronic total energy: -32.38 eV for the cell shown
SG: No. 216
Magnetic moment: 7.09 μB per cell
DOS at the Fermi energy: 3.702 states/eV/cell


Density functional theory data (PBE-GGA) for a geometry-optimized LaMnOs structure.

Cell: 2.9652 2.9652 7.4997 Å, 90.00 90.00 120.00°
Atoms (fractional coordinates):
La  0.0000  0.0000  0.0000
Mn  0.3333  0.6667  0.3869
Os  0.6667  0.3333  0.6325

Computed properties:
Theoretical density: 11.17 g/cm³
Polymorph energy (0 for the lowest one): 1.764 eV per formula unit
Electronic total energy: -23.35 eV for the cell shown
SG: No. 156
Magnetic moment: 2.86 μB per cell
DOS at the Fermi energy: 2.892 states/eV/cell